Cs3YCu | PBE-GGA | relaxed

Structure (extended XYZ):
```
5
Lattice="7.393 0.000 0.000 0.000 7.393 0.000 0.000 0.000 7.393" Properties=species:S:1:pos:R:3 pbc="T T T"
Cs 3.697 0.000 0.000
Cs 0.000 0.000 3.697
Cs 0.000 3.697 0.000
Y 0.000 0.000 0.000
Cu 3.697 3.697 3.697
```

The value obtained for the formation enthalpy at 0 K is 1.0644 eV/atom. Its space group is No. 221.



Cs2ZnCu2 | PBE-GGA | relaxed

Structure (extended XYZ):
```
5
Lattice="6.961 0.000 0.000 0.000 6.961 0.000 3.481 3.481 3.733" Properties=species:S:1:pos:R:3 pbc="T T T"
Cs 6.961 3.481 1.867
Cs 3.481 6.961 1.867
Cu 6.961 6.961 2.510
Zn 0.000 0.000 0.000
Cu 3.481 3.481 1.223
```

The value obtained for the formation enthalpy at 0 K is 0.3585 eV/atom. Its space group is No. 139.



Cs3ZnCu | PBE-GGA | relaxed

Structure (extended XYZ):
```
5
Lattice="7.014 0.000 0.000 0.000 7.014 0.000 0.000 0.000 7.014" Properties=species:S:1:pos:R:3 pbc="T T T"
Cu 3.507 3.507 3.507
Cs 0.000 0.000 3.507
Zn 0.000 0.000 0.000
Cs 3.507 0.000 0.000
Cs 0.000 3.507 0.000
```

The value obtained for the formation enthalpy at 0 K is 0.4654 eV/atom. Its space group is No. 221.



CsZn2Cu2 | PBE-GGA | relaxed

Structure (extended XYZ):
```
5
Lattice="4.742 0.000 0.000 0.000 4.742 0.000 2.371 2.371 6.268" Properties=species:S:1:pos:R:3 pbc="T T T"
Zn 2.371 2.371 2.637
Zn 4.742 4.742 3.632
Cu 4.742 2.371 3.134
Cu 2.371 4.742 3.134
Cs 0.000 0.000 0.000
```

The value obtained for the formation enthalpy at 0 K is 0.2005 eV/atom. Its space group is No. 139.



Energy across the listed records, respectively: -7.8 -9.4 -5.6 -10.6 eV per formula unit.